(1)
# LiThCuHg PBE-GGA relaxed
data_LiThCuHg
_chemical_formula_sum 'Li4 Th4 Cu4 Hg4'
_symmetry_space_group_name_H-M 'F -4 3 m'
_symmetry_Int_Tables_number 216
_symmetry_space_group_name_Hall 'F -4 2 3'
_cell_length_a 6.8229
_cell_length_b 6.8229
_cell_length_c 6.8229
_cell_angle_alpha 90.00
_cell_angle_beta 90.00
_cell_angle_gamma 90.00
loop_
_atom_site_label
_atom_site_type_symbol
_atom_site_fract_x
_atom_site_fract_y
_atom_site_fract_z
Li1 Li 0.0000 0.0000 0.0000
Th1 Th 0.2500 0.2500 0.7500
Cu1 Cu 0.0000 0.0000 0.5000
Hg1 Hg 0.2500 0.2500 0.2500
# Raw total energy, eV for the cell shown: -57.03
# Mass density, Mg/m³: 10.52
# Density of states at the Fermi level, states/eV per cell: 5.78
# DFT formation energy, eV per formula unit: -0.526
# Crystal system: cubic

(2)
# LiTlCuHg PBE-GGA relaxed
data_LiTlCuHg
_chemical_formula_sum 'Li4 Tl4 Cu4 Hg4'
_symmetry_space_group_name_H-M 'F -4 3 m'
_symmetry_Int_Tables_number 216
_symmetry_space_group_name_Hall 'F -4 2 3'
_cell_length_a 6.7170
_cell_length_b 6.7170
_cell_length_c 6.7170
_cell_angle_alpha 90.00
_cell_angle_beta 90.00
_cell_angle_gamma 90.00
loop_
_atom_site_label
_atom_site_type_symbol
_atom_site_fract_x
_atom_site_fract_y
_atom_site_fract_z
Li1 Li 0.0000 0.0000 0.0000
Tl1 Tl 0.2500 0.2500 0.7500
Cu1 Cu 0.0000 0.0000 0.5000
Hg1 Hg 0.2500 0.2500 0.2500
# Raw total energy, eV for the cell shown: -35.52
# Mass density, Mg/m³: 10.42
# Density of states at the Fermi level, states/eV per cell: 7.80
# DFT formation energy, eV per formula unit: -0.203
# Crystal system: cubic

(3)
# LiTmCuHg PBE-GGA relaxed
data_LiTmCuHg
_chemical_formula_sum 'Li4 Tm4 Cu4 Hg4'
_symmetry_space_group_name_H-M 'F -4 3 m'
_symmetry_Int_Tables_number 216
_symmetry_space_group_name_Hall 'F -4 2 3'
_cell_length_a 6.8029
_cell_length_b 6.8029
_cell_length_c 6.8029
_cell_angle_alpha 90.00
_cell_angle_beta 90.00
_cell_angle_gamma 90.00
loop_
_atom_site_label
_atom_site_type_symbol
_atom_site_fract_x
_atom_site_fract_y
_atom_site_fract_z
Li1 Li 0.0000 0.0000 0.0000
Tm1 Tm 0.0000 0.0000 0.5000
Cu1 Cu 0.2500 0.2500 0.7500
Hg1 Hg 0.2500 0.2500 0.2500
# Raw total energy, eV for the cell shown: -46.60
# Mass density, Mg/m³: 9.28
# Density of states at the Fermi level, states/eV per cell: 15.62
# DFT formation energy, eV per formula unit: -0.866
# Crystal system: cubic

(4)
# LiVCu2Hg PBE-GGA relaxed
data_LiVCu2Hg
_chemical_formula_sum 'Li1 V1 Cu2 Hg1'
_symmetry_space_group_name_H-M 'P 4/m m m'
_symmetry_Int_Tables_number 123
_symmetry_space_group_name_Hall '-P 4 2'
_cell_length_a 4.2325
_cell_length_b 4.2325
_cell_length_c 4.4857
_cell_angle_alpha 90.00
_cell_angle_beta 90.00
_cell_angle_gamma 90.00
loop_
_atom_site_label
_atom_site_type_symbol
_atom_site_fract_x
_atom_site_fract_y
_atom_site_fract_z
Li1 Li 0.0000 0.0000 0.0000
V1 V 0.0000 0.0000 0.5000
Cu1 Cu 0.0000 0.5000 0.0000
Hg1 Hg 0.5000 0.5000 0.5000
# Raw total energy, eV for the cell shown: -15.69
# Mass density, Mg/m³: 7.97
# Density of states at the Fermi level, states/eV per cell: 3.83
# DFT formation energy, eV per formula unit: 3.836
# Crystal system: tetragonal

(5)
# LiCuHg2W PBE-GGA relaxed
data_LiCuHg2W
_chemical_formula_sum 'Li1 Cu1 Hg2 W1'
_symmetry_space_group_name_H-M 'P 4/m m m'
_symmetry_Int_Tables_number 123
_symmetry_space_group_name_Hall '-P 4 2'
_cell_length_a 4.9406
_cell_length_b 4.9406
_cell_length_c 4.7585
_cell_angle_alpha 90.00
_cell_angle_beta 90.00
_cell_angle_gamma 90.00
loop_
_atom_site_label
_atom_site_type_symbol
_atom_site_fract_x
_atom_site_fract_y
_atom_site_fract_z
Li1 Li 0.0000 0.0000 0.0000
Cu1 Cu 0.5000 0.5000 0.5000
Hg1 Hg 0.0000 0.5000 0.5000
W1 W 0.5000 0.5000 0.0000
# Raw total energy, eV for the cell shown: -14.26
# Mass density, Mg/m³: 9.37
# Density of states at the Fermi level, states/eV per cell: 4.02
# DFT formation energy, eV per formula unit: 5.302
# Crystal system: tetragonal

(6)
# LiYCu2Hg PBE-GGA relaxed
data_LiYCu2Hg
_chemical_formula_sum 'Li1 Y1 Cu2 Hg1'
_symmetry_space_group_name_H-M 'P 4/m m m'
_symmetry_Int_Tables_number 123
_symmetry_space_group_name_Hall '-P 4 2'
_cell_length_a 4.4599
_cell_length_b 4.4599
_cell_length_c 4.6859
_cell_angle_alpha 90.00
_cell_angle_beta 90.00
_cell_angle_gamma 90.00
loop_
_atom_site_label
_atom_site_type_symbol
_atom_site_fract_x
_atom_site_fract_y
_atom_site_fract_z
Li1 Li 0.0000 0.0000 0.0000
Y1 Y 0.5000 0.5000 0.5000
Cu1 Cu 0.0000 0.5000 0.0000
Hg1 Hg 0.0000 0.0000 0.5000
# Raw total energy, eV for the cell shown: -16.51
# Mass density, Mg/m³: 7.55
# Density of states at the Fermi level, states/eV per cell: 2.79
# DFT formation energy, eV per formula unit: 0.361
# Crystal system: tetragonal

(7)
# LuCuHg PBE-GGA relaxed
data_LuCuHg
_chemical_formula_sum 'Lu2 Cu2 Hg2'
_symmetry_space_group_name_H-M 'I 4 m m'
_symmetry_Int_Tables_number 107
_symmetry_space_group_name_Hall 'I 4 -2'
_cell_length_a 3.6290
_cell_length_b 3.6290
_cell_length_c 9.1867
_cell_angle_alpha 90.00
_cell_angle_beta 90.00
_cell_angle_gamma 90.00
loop_
_atom_site_label
_atom_site_type_symbol
_atom_site_fract_x
_atom_site_fract_y
_atom_site_fract_z
Lu1 Lu 0.0000 0.0000 0.0000
Cu1 Cu 0.0000 0.0000 0.3365
Hg1 Hg 0.0000 0.0000 0.6803
# Raw total energy, eV for the cell shown: -19.33
# Mass density, Mg/m³: 12.05
# Energy above the lowest structure with this stoichiometry, meV/atom: 40
# Density of states at the Fermi level, states/eV per cell: 1.62
# DFT formation energy, eV per formula unit: -0.745
# Crystal system: tetragonal

(8)
# LuCuHg PBE-GGA relaxed
data_LuCuHg
_chemical_formula_sum 'Lu1 Cu1 Hg1'
_symmetry_space_group_name_H-M 'P -6 m 2'
_symmetry_Int_Tables_number 187
_symmetry_space_group_name_Hall 'P -6 2'
_cell_length_a 4.5785
_cell_length_b 4.5785
_cell_length_c 3.3708
_cell_angle_alpha 90.00
_cell_angle_beta 90.00
_cell_angle_gamma 120.00
loop_
_atom_site_label
_atom_site_type_symbol
_atom_site_fract_x
_atom_site_fract_y
_atom_site_fract_z
Lu1 Lu 0.0000 0.0000 0.0000
Cu1 Cu 0.6667 0.3333 0.5000
Hg1 Hg 0.3333 0.6667 0.5000
# Raw total energy, eV for the cell shown: -9.78
# Mass density, Mg/m³: 11.92
# Energy above the lowest structure with this stoichiometry, meV/atom: 0
# Density of states at the Fermi level, states/eV per cell: 2.75
# DFT formation energy, eV per formula unit: -0.864
# Crystal system: hexagonal

(9)
# Lu2CuHg PBE-GGA relaxed
data_Lu2CuHg
_chemical_formula_sum 'Lu2 Cu1 Hg1'
_symmetry_space_group_name_H-M 'P 4/m m m'
_symmetry_Int_Tables_number 123
_symmetry_space_group_name_Hall '-P 4 2'
_cell_length_a 3.4509
_cell_length_b 3.4509
_cell_length_c 7.3693
_cell_angle_alpha 90.00
_cell_angle_beta 90.00
_cell_angle_gamma 90.00
loop_
_atom_site_label
_atom_site_type_symbol
_atom_site_fract_x
_atom_site_fract_y
_atom_site_fract_z
Lu1 Lu 0.0000 0.0000 0.2251
Cu1 Cu 0.5000 0.5000 0.0000
Hg1 Hg 0.5000 0.5000 0.5000
# Raw total energy, eV for the cell shown: -14.97
# Mass density, Mg/m³: 11.62
# Energy above the lowest structure with this stoichiometry, meV/atom: 0
# Density of states at the Fermi level, states/eV per cell: 2.64
# DFT formation energy, eV per formula unit: -1.528
# Crystal system: tetragonal

(10)
# LuCu2Hg PBE-GGA relaxed
data_LuCu2Hg
_chemical_formula_sum 'Lu4 Cu8 Hg4'
_symmetry_space_group_name_H-M 'F m -3 m'
_symmetry_Int_Tables_number 225
_symmetry_space_group_name_Hall '-F 4 2 3'
_cell_length_a 6.5457
_cell_length_b 6.5457
_cell_length_c 6.5457
_cell_angle_alpha 90.00
_cell_angle_beta 90.00
_cell_angle_gamma 90.00
loop_
_atom_site_label
_atom_site_type_symbol
_atom_site_fract_x
_atom_site_fract_y
_atom_site_fract_z
Lu1 Lu 0.0000 0.0000 0.0000
Cu1 Cu 0.2500 0.2500 0.2500
Hg1 Hg 0.0000 0.0000 0.5000
# Raw total energy, eV for the cell shown: -55.19
# Mass density, Mg/m³: 11.90
# Energy above the lowest structure with this stoichiometry, meV/atom: 0
# Density of states at the Fermi level, states/eV per cell: 13.43
# DFT formation energy, eV per formula unit: -0.783
# Crystal system: cubic

(11)
# LuCuHg PBE-GGA relaxed
data_LuCuHg
_chemical_formula_sum 'Lu4 Cu4 Hg4'
_symmetry_space_group_name_H-M 'F -4 3 m'
_symmetry_Int_Tables_number 216
_symmetry_space_group_name_Hall 'F -4 2 3'
_cell_length_a 6.4263
_cell_length_b 6.4263
_cell_length_c 6.4263
_cell_angle_alpha 90.00
_cell_angle_beta 90.00
_cell_angle_gamma 90.00
loop_
_atom_site_label
_atom_site_type_symbol
_atom_site_fract_x
_atom_site_fract_y
_atom_site_fract_z
Lu1 Lu 0.0000 0.0000 0.0000
Cu1 Cu 0.2500 0.2500 0.2500
Hg1 Hg 0.0000 0.0000 0.5000
# Raw total energy, eV for the cell shown: -38.00
# Mass density, Mg/m³: 10.99
# Energy above the lowest structure with this stoichiometry, meV/atom: 94
# Density of states at the Fermi level, states/eV per cell: 8.78
# DFT formation energy, eV per formula unit: -0.581
# Crystal system: cubic

(12)
# Lu2CuHg PBE-GGA relaxed
data_Lu2CuHg
_chemical_formula_sum 'Lu8 Cu4 Hg4'
_symmetry_space_group_name_H-M 'F m -3 m'
_symmetry_Int_Tables_number 225
_symmetry_space_group_name_Hall '-F 4 2 3'
_cell_length_a 7.0736
_cell_length_b 7.0736
_cell_length_c 7.0736
_cell_angle_alpha 90.00
_cell_angle_beta 90.00
_cell_angle_gamma 90.00
loop_
_atom_site_label
_atom_site_type_symbol
_atom_site_fract_x
_atom_site_fract_y
_atom_site_fract_z
Lu1 Lu 0.2500 0.2500 0.2500
Cu1 Cu 0.0000 0.0000 0.0000
Hg1 Hg 0.0000 0.0000 0.5000
# Raw total energy, eV for the cell shown: -59.39
# Mass density, Mg/m³: 11.52
# Energy above the lowest structure with this stoichiometry, meV/atom: 30
# Density of states at the Fermi level, states/eV per cell: 15.21
# DFT formation energy, eV per formula unit: -1.409
# Crystal system: cubic